This record from Alexandria describes an optimized crystal structure of Ce2DyUN4. The functional is PBE-GGA.

Unit cell a=3.505 b=6.005 c=6.118 alpha=109.10 beta=90.00 gamma=90.00
Fractional positions:
U1 0.000 0.000 0.000
Dy1 0.500 0.500 0.000
Ce1 0.000 0.500 0.500
Ce2 0.500 0.000 0.500
N1 0.000 0.237 0.773
N2 0.500 0.772 0.779
N3 0.000 0.763 0.227
N4 0.500 0.228 0.221

## Properties
formation energy without anion corrections	-1.526	eV per atom
symmetry	No. 10
electronic total energy	-0.337	hartree per atom
density	10056	kg/m3
total moment	0.83	μB/cell


This record from Alexandria describes an optimized crystal structure of RbH3Br6. The functional is PBE-GGA.

Unit cell a=6.465 b=8.683 c=8.683 alpha=114.05 beta=104.37 gamma=104.37
Fractional positions:
Br1 0.728 0.216 0.000
Br2 0.188 0.000 0.570
Br3 0.188 0.570 0.000
Br4 0.512 0.784 0.784
Br5 0.728 0.000 0.216
Br6 0.618 0.430 0.430
H1 0.995 0.000 0.438
H2 0.556 0.562 0.562
H3 0.995 0.438 0.000
Rb1 0.153 0.000 0.000

## Properties
symmetry	No. 160
electronic total energy	-0.090	hartree per atom
density	2381	kg/m3
total moment	2.01	μB/cell